No. 1
Computed, not measured: a relaxed BaNa2H6Pd2 crystal at the GGA-PBE level of DFT. Values from VASP.

Structure (Quantum ESPRESSO input):
```
&SYSTEM
  ibrav = 0, nat = 11, ntyp = 4
/
ATOMIC_SPECIES
H 1.01 H.upf
Ba 137.33 Ba.upf
Na 22.99 Na.upf
Pd 106.42 Pd.upf
ATOMIC_POSITIONS crystal
H 0.933 0.208 0.438
H 0.754 0.447 0.093
H 0.266 0.130 0.995
Ba 0.500 0.000 0.500
H 0.246 0.553 0.907
H 0.734 0.870 0.005
H 0.067 0.792 0.562
Na 0.448 0.322 0.117
Pd 0.850 0.324 0.264
Na 0.552 0.678 0.883
Pd 0.150 0.676 0.736
CELL_PARAMETERS angstrom
5.729 -0.006 1.539
2.938 5.696 0.420
1.571 -3.410 5.425
```

As for the volume: 14.195 Å³ per atom.


No. 2
Computed, not measured: a relaxed BaNaH6Pt crystal at the GGA-PBE level of DFT. Values from VASP.

Structure (Quantum ESPRESSO input):
```
&SYSTEM
  ibrav = 0, nat = 9, ntyp = 4
/
ATOMIC_SPECIES
H 1.01 H.upf
Pt 195.08 Pt.upf
Na 22.99 Na.upf
Ba 137.33 Ba.upf
ATOMIC_POSITIONS crystal
H 0.487 0.487 0.269
H 0.646 0.177 0.658
Pt 0.333 0.333 0.471
Na 0.667 0.667 0.623
H 0.026 0.487 0.269
H 0.177 0.646 0.659
Ba 0.000 0.000 0.123
H 0.487 0.027 0.269
H 0.177 0.177 0.658
CELL_PARAMETERS angstrom
5.192 0.000 0.000
2.596 4.497 0.001
0.000 0.001 4.965
```

As for the volume: 12.880 Å³ per atom.


No. 3
Computed, not measured: a relaxed Ba2NaHPt crystal at the GGA-PBE level of DFT. Values from VASP.

Structure (Quantum ESPRESSO input):
```
&SYSTEM
  ibrav = 0, nat = 5, ntyp = 4
/
ATOMIC_SPECIES
H 1.01 H.upf
Ba 137.33 Ba.upf
Na 22.99 Na.upf
Pt 195.08 Pt.upf
ATOMIC_POSITIONS crystal
H 0.000 0.000 0.000
Ba 0.500 0.000 0.000
Ba 0.000 0.500 0.000
Na 0.500 0.500 0.500
Pt 0.000 0.000 0.500
CELL_PARAMETERS angstrom
5.740 0.000 0.000
0.000 5.740 0.000
0.000 0.000 4.114
```

As for the volume: 27.115 Å³ per atom. The distance to the lowest polymorph of the same formula comes out at 82 meV/atom.


No. 4
Computed, not measured: a relaxed BaNaH6Pt2 crystal at the GGA-PBE level of DFT. Values from VASP.

Structure (Quantum ESPRESSO input):
```
&SYSTEM
  ibrav = 0, nat = 20, ntyp = 4
/
ATOMIC_SPECIES
H 1.01 H.upf
Pt 195.08 Pt.upf
Na 22.99 Na.upf
Ba 137.33 Ba.upf
ATOMIC_POSITIONS crystal
H 0.252 0.236 0.592
Pt 0.872 0.630 0.655
Na 0.403 0.597 0.750
H 0.236 0.252 0.092
Ba 0.143 0.857 0.250
H 0.764 0.748 0.908
H 0.527 0.306 0.871
Pt 0.128 0.370 0.345
H 0.771 0.057 0.207
H 0.057 0.771 0.707
Pt 0.370 0.128 0.845
Na 0.597 0.403 0.250
Ba 0.857 0.143 0.750
H 0.943 0.229 0.293
H 0.306 0.527 0.371
H 0.748 0.764 0.408
H 0.229 0.943 0.793
Pt 0.630 0.872 0.155
H 0.473 0.694 0.129
H 0.694 0.473 0.629
CELL_PARAMETERS angstrom
6.816 0.610 0.768
-0.229 6.839 0.768
-1.144 -1.294 5.235
```

As for the volume: 12.864 Å³ per atom.


No. 5
Computed, not measured: a relaxed Ba2NaHPt crystal at the GGA-PBE level of DFT. Values from VASP.

Structure (Quantum ESPRESSO input):
```
&SYSTEM
  ibrav = 0, nat = 5, ntyp = 4
/
ATOMIC_SPECIES
Na 22.99 Na.upf
Ba 137.33 Ba.upf
H 1.01 H.upf
Pt 195.08 Pt.upf
ATOMIC_POSITIONS crystal
Na 0.000 0.000 0.500
Ba 0.500 0.000 0.000
Ba 0.000 0.500 0.000
H 0.000 0.000 0.000
Pt 0.500 0.500 0.500
CELL_PARAMETERS angstrom
-2.672 0.728 -4.687
-2.585 -4.734 0.738
-3.264 2.124 2.190
```

As for the volume: 26.478 Å³ per atom. The distance to the lowest polymorph of the same formula comes out at 0 meV/atom.


No. 6
Computed, not measured: a relaxed BaNaH4Pt crystal at the GGA-PBE level of DFT. Values from VASP.

Structure (Quantum ESPRESSO input):
```
&SYSTEM
  ibrav = 0, nat = 14, ntyp = 4
/
ATOMIC_SPECIES
H 1.01 H.upf
Pt 195.08 Pt.upf
Na 22.99 Na.upf
Ba 137.33 Ba.upf
ATOMIC_POSITIONS crystal
H 0.361 0.750 0.722
H 0.132 0.750 0.264
H 0.500 0.000 0.500
Pt 0.753 0.250 0.506
H 0.639 0.250 0.278
Na 0.632 0.750 0.264
Ba 0.887 0.750 0.774
Ba 0.113 0.250 0.226
Na 0.368 0.250 0.736
H 0.000 0.000 0.500
Pt 0.247 0.750 0.494
H 0.000 0.500 0.500
H 0.500 0.500 0.500
H 0.868 0.250 0.736
CELL_PARAMETERS angstrom
5.333 0.000 0.000
0.000 5.436 0.000
-2.666 0.000 7.483
```

As for the volume: 15.494 Å³ per atom.


No. 7
Computed, not measured: a relaxed BaNa2H8Pt crystal at the GGA-PBE level of DFT. Values from VASP.

Structure (Quantum ESPRESSO input):
```
&SYSTEM
  ibrav = 0, nat = 12, ntyp = 4
/
ATOMIC_SPECIES
H 1.01 H.upf
Na 22.99 Na.upf
Pt 195.08 Pt.upf
Ba 137.33 Ba.upf
ATOMIC_POSITIONS crystal
H 0.843 0.157 0.868
H 0.157 0.313 0.132
Na 0.667 0.333 0.145
Na 0.333 0.667 0.855
Pt 0.000 0.000 0.000
Ba 0.000 0.000 0.500
H 0.843 0.687 0.868
H 0.333 0.667 0.561
H 0.667 0.333 0.439
H 0.157 0.843 0.132
H 0.313 0.157 0.868
H 0.687 0.843 0.132
CELL_PARAMETERS angstrom
4.933 0.000 0.000
-2.466 4.272 0.000
0.000 0.000 7.352
```

As for the volume: 12.909 Å³ per atom.


No. 8
Computed, not measured: a relaxed Ba2NaH6Pt crystal at the GGA-PBE level of DFT. Values from VASP.

Structure (Quantum ESPRESSO input):
```
&SYSTEM
  ibrav = 0, nat = 10, ntyp = 4
/
ATOMIC_SPECIES
H 1.01 H.upf
Ba 137.33 Ba.upf
Pt 195.08 Pt.upf
Na 22.99 Na.upf
ATOMIC_POSITIONS crystal
H 0.824 0.145 0.855
H 0.824 0.145 0.290
Ba 0.191 0.333 0.667
Pt 0.000 0.000 0.000
H 0.176 0.290 0.145
H 0.176 0.855 0.710
Na 0.500 0.000 0.000
Ba 0.809 0.667 0.333
H 0.176 0.855 0.145
H 0.824 0.710 0.855
CELL_PARAMETERS angstrom
-4.047 -3.855 -1.049
1.904 -3.213 4.460
-4.083 4.051 0.868
```

As for the volume: 16.664 Å³ per atom.


No. 9
Computed, not measured: a relaxed RbBaNaH crystal at the GGA-PBE level of DFT. Values from VASP.

Structure (Quantum ESPRESSO input):
```
&SYSTEM
  ibrav = 0, nat = 8, ntyp = 4
/
ATOMIC_SPECIES
Na 22.99 Na.upf
Rb 85.47 Rb.upf
H 1.01 H.upf
Ba 137.33 Ba.upf
ATOMIC_POSITIONS crystal
Na 0.750 0.750 0.237
Rb 0.750 0.250 0.500
H 0.750 0.250 0.000
H 0.250 0.750 0.000
Rb 0.250 0.750 0.500
Ba 0.250 0.250 0.093
Na 0.250 0.250 0.763
Ba 0.750 0.750 0.907
CELL_PARAMETERS angstrom
5.289 0.000 0.000
0.000 5.289 0.000
0.000 0.000 11.938
```

As for the volume: 41.746 Å³ per atom.


No. 10
Computed, not measured: a relaxed RbBa2NaH crystal at the GGA-PBE level of DFT. Values from VASP.

Structure (Quantum ESPRESSO input):
```
&SYSTEM
  ibrav = 0, nat = 5, ntyp = 4
/
ATOMIC_SPECIES
Rb 85.47 Rb.upf
Ba 137.33 Ba.upf
Na 22.99 Na.upf
H 1.01 H.upf
ATOMIC_POSITIONS crystal
Rb 0.500 0.500 0.500
Ba 0.000 0.500 0.000
Na 0.000 0.000 0.500
H 0.000 0.000 0.000
Ba 0.500 0.000 0.000
CELL_PARAMETERS angstrom
-2.049 -2.166 -4.963
-2.757 -4.150 2.949
-5.602 4.096 0.526
```

As for the volume: 46.656 Å³ per atom. The distance to the lowest polymorph of the same formula comes out at 39 meV/atom.


No. 11
Computed, not measured: a relaxed RbBa2NaH crystal at the GGA-PBE level of DFT. Values from VASP.

Structure (Quantum ESPRESSO input):
```
&SYSTEM
  ibrav = 0, nat = 5, ntyp = 4
/
ATOMIC_SPECIES
Rb 85.47 Rb.upf
Ba 137.33 Ba.upf
Na 22.99 Na.upf
H 1.01 H.upf
ATOMIC_POSITIONS crystal
Rb 0.000 0.000 0.500
Ba 0.000 0.500 0.000
Na 0.500 0.500 0.500
H 0.000 0.000 0.000
Ba 0.500 0.000 0.000
CELL_PARAMETERS angstrom
5.846 0.000 0.000
0.000 5.846 0.000
0.000 0.000 6.587
```

As for the volume: 45.014 Å³ per atom. The distance to the lowest polymorph of the same formula comes out at 0 meV/atom.


No. 12
Computed, not measured: a relaxed BaNa2ReH8 crystal at the GGA-PBE level of DFT. Values from VASP.

Structure (Quantum ESPRESSO input):
```
&SYSTEM
  ibrav = 0, nat = 12, ntyp = 4
/
ATOMIC_SPECIES
Na 22.99 Na.upf
Re 186.21 Re.upf
H 1.01 H.upf
Ba 137.33 Ba.upf
ATOMIC_POSITIONS crystal
Na 0.333 0.667 0.850
Re 0.000 0.000 0.000
H 0.161 0.322 0.147
H 0.667 0.333 0.452
H 0.161 0.839 0.147
Ba 0.000 0.000 0.500
Na 0.667 0.333 0.150
H 0.322 0.161 0.853
H 0.333 0.667 0.548
H 0.839 0.678 0.853
H 0.839 0.161 0.853
H 0.678 0.839 0.147
CELL_PARAMETERS angstrom
5.067 0.000 0.000
-2.534 4.388 0.000
0.000 0.000 7.280
```

As for the volume: 13.490 Å³ per atom.


No. 13
Computed, not measured: a relaxed Ba4NaH12Rh3 crystal at the GGA-PBE level of DFT. Values from VASP.

Structure (Quantum ESPRESSO input):
```
&SYSTEM
  ibrav = 0, nat = 20, ntyp = 4
/
ATOMIC_SPECIES
Ba 137.33 Ba.upf
H 1.01 H.upf
Rh 102.91 Rh.upf
Na 22.99 Na.upf
ATOMIC_POSITIONS crystal
Ba 0.000 0.000 0.500
Ba 0.000 0.500 0.000
H 0.283 0.000 0.283
H 0.750 0.250 0.500
H 0.750 0.500 0.250
H 0.500 0.250 0.750
H 0.717 0.000 0.717
Rh 0.500 0.500 0.000
H 0.717 0.717 0.000
Ba 0.500 0.000 0.000
Ba 0.500 0.500 0.500
H 0.500 0.750 0.250
Na 0.000 0.000 0.000
H 0.250 0.500 0.750
Rh 0.500 0.000 0.500
Rh 0.000 0.500 0.500
H 0.283 0.283 0.000
H 0.000 0.283 0.283
H 0.250 0.750 0.500
H 0.000 0.717 0.717
CELL_PARAMETERS angstrom
-0.105 1.095 6.863
5.630 -3.719 -1.666
0.191 6.104 -3.318
```

As for the volume: 12.922 Å³ per atom.


No. 14
Computed, not measured: a relaxed Ba3NaH9Rh2 crystal at the GGA-PBE level of DFT. Values from VASP.

Structure (Quantum ESPRESSO input):
```
&SYSTEM
  ibrav = 0, nat = 15, ntyp = 4
/
ATOMIC_SPECIES
H 1.01 H.upf
Ba 137.33 Ba.upf
Rh 102.91 Rh.upf
Na 22.99 Na.upf
ATOMIC_POSITIONS crystal
H 0.000 0.500 0.000
H 0.500 0.500 0.000
H 0.812 0.188 0.698
H 0.188 0.376 0.302
Ba 0.667 0.333 0.324
Ba 0.333 0.667 0.676
Rh 0.333 0.667 0.160
H 0.188 0.812 0.302
H 0.812 0.624 0.698
Na 0.000 0.000 0.500
H 0.500 0.000 0.000
Rh 0.667 0.333 0.840
H 0.624 0.812 0.302
H 0.376 0.188 0.698
Ba 0.000 0.000 0.000
CELL_PARAMETERS angstrom
-1.390 3.245 4.547
-3.784 -0.735 -4.276
-2.560 -5.625 3.233
```

As for the volume: 13.345 Å³ per atom.


No. 15
Computed, not measured: a relaxed Ba6Na2HRh crystal at the GGA-PBE level of DFT. Values from VASP.

Structure (Quantum ESPRESSO input):
```
&SYSTEM
  ibrav = 0, nat = 10, ntyp = 4
/
ATOMIC_SPECIES
Rh 102.91 Rh.upf
Ba 137.33 Ba.upf
Na 22.99 Na.upf
H 1.01 H.upf
ATOMIC_POSITIONS crystal
Rh 0.500 0.500 0.000
Ba 0.750 0.750 0.499
Na 0.750 0.250 0.499
Na 0.250 0.750 0.499
Ba 0.250 0.250 0.501
Ba 0.251 0.252 0.001
Ba 0.748 0.749 0.999
Ba 0.251 0.749 0.000
H 0.000 0.001 0.001
Ba 0.749 0.251 0.000
CELL_PARAMETERS angstrom
8.685 0.001 0.001
0.001 8.685 0.000
-4.343 -4.343 6.131
```

As for the volume: 46.251 Å³ per atom.


No. 16
Computed, not measured: a relaxed BaNaH4Rh crystal at the GGA-PBE level of DFT. Values from VASP.

Structure (Quantum ESPRESSO input):
```
&SYSTEM
  ibrav = 0, nat = 7, ntyp = 4
/
ATOMIC_SPECIES
Rh 102.91 Rh.upf
Ba 137.33 Ba.upf
H 1.01 H.upf
Na 22.99 Na.upf
ATOMIC_POSITIONS crystal
Rh 0.006 0.006 0.012
Ba 0.355 0.355 0.710
H 0.005 0.505 0.010
H 0.871 0.871 0.742
H 0.140 0.140 0.279
Na 0.619 0.619 0.237
H 0.505 0.005 0.010
CELL_PARAMETERS angstrom
3.856 0.000 0.000
0.000 3.856 0.000
-1.928 -1.928 6.449
```

As for the volume: 13.698 Å³ per atom.


No. 17
Computed, not measured: a relaxed Ba2NaHRh crystal at the GGA-PBE level of DFT. Values from VASP.

Structure (Quantum ESPRESSO input):
```
&SYSTEM
  ibrav = 0, nat = 5, ntyp = 4
/
ATOMIC_SPECIES
Rh 102.91 Rh.upf
Ba 137.33 Ba.upf
H 1.01 H.upf
Na 22.99 Na.upf
ATOMIC_POSITIONS crystal
Rh 0.500 0.500 0.500
Ba 0.000 0.500 0.000
H 0.000 0.000 0.000
Na 0.000 0.000 0.500
Ba 0.500 0.000 0.000
CELL_PARAMETERS angstrom
-0.652 -1.536 -5.158
-0.022 -5.195 1.550
-4.427 0.171 0.509
```

As for the volume: 26.215 Å³ per atom. The distance to the lowest polymorph of the same formula comes out at 28 meV/atom.


No. 18
Computed, not measured: a relaxed BaNaH2Rh crystal at the GGA-PBE level of DFT. Values from VASP.

Structure (Quantum ESPRESSO input):
```
&SYSTEM
  ibrav = 0, nat = 5, ntyp = 4
/
ATOMIC_SPECIES
Rh 102.91 Rh.upf
Na 22.99 Na.upf
H 1.01 H.upf
Ba 137.33 Ba.upf
ATOMIC_POSITIONS crystal
Rh 0.000 0.000 0.000
Na 0.000 0.500 0.000
H 0.000 0.000 0.500
Ba 0.500 0.500 0.500
H 0.500 0.000 0.000
CELL_PARAMETERS angstrom
4.274 0.000 0.000
0.000 4.875 0.000
0.000 0.000 4.274
```

As for the volume: 17.806 Å³ per atom.


No. 19
Computed, not measured: a relaxed Ba2NaHRh crystal at the GGA-PBE level of DFT. Values from VASP.

Structure (Quantum ESPRESSO input):
```
&SYSTEM
  ibrav = 0, nat = 5, ntyp = 4
/
ATOMIC_SPECIES
Rh 102.91 Rh.upf
H 1.01 H.upf
Na 22.99 Na.upf
Ba 137.33 Ba.upf
ATOMIC_POSITIONS crystal
Rh 0.000 0.000 0.500
H 0.000 0.000 0.000
Na 0.500 0.500 0.500
Ba 0.000 0.500 0.000
Ba 0.500 0.000 0.000
CELL_PARAMETERS angstrom
-1.850 1.344 -5.349
-2.864 -5.056 -0.279
-3.175 1.714 1.529
```

As for the volume: 26.521 Å³ per atom. The distance to the lowest polymorph of the same formula comes out at 0 meV/atom.


No. 20
Computed, not measured: a relaxed Ba3NaH6Rh2 crystal at the GGA-PBE level of DFT. Values from VASP.

Structure (Quantum ESPRESSO input):
```
&SYSTEM
  ibrav = 0, nat = 12, ntyp = 4
/
ATOMIC_SPECIES
Ba 137.33 Ba.upf
H 1.01 H.upf
Na 22.99 Na.upf
Rh 102.91 Rh.upf
ATOMIC_POSITIONS crystal
Ba 0.333 0.667 0.687
Ba 0.000 0.000 0.000
H 0.186 0.372 0.299
Na 0.000 0.000 0.500
H 0.628 0.814 0.299
Rh 0.667 0.333 0.826
H 0.186 0.814 0.299
H 0.372 0.186 0.701
H 0.814 0.186 0.701
Ba 0.667 0.333 0.313
H 0.814 0.628 0.701
Rh 0.333 0.667 0.174
CELL_PARAMETERS angstrom
5.862 0.000 0.000
-2.931 5.076 0.000
0.000 0.000 6.857
```

As for the volume: 17.003 Å³ per atom.


The calculation returns the following uncorrected energy values, one per record and in order: -38.17; -32.95; -15.88; -77.97; -16.29; -50.91; -41.93; -34.86; -15.46; -9.47; -9.66; -43.76; -80.39; -58.51; -26.35; -26.32; -16.15; -15.72; -16.29; -45.74 eV for the cell shown.